# Tb8In

Tb8In after structural relaxation (PBE, Alexandria via LeMat-Bulk).

The calculation puts the formation energy at -75.1 meV/atom. The final energy comes out at -4.495 eV per atom.

The structure belongs to space group I4/mmm (No. 139); the cell edges are 10.620, 10.620 and 4.910 Å and the angles 90.00°, 90.00° and 90.00°. The asymmetric unit holds Tb at (0.000, 0.334, 0.000), Tb at (0.161, 0.161, 0.500) and In at (0.000, 0.000, 0.000).